A relaxed structure of LaTb4Nd2Mg, computed with PBE.

Output
Raw total energy in Ha/atom: -0.155
Calculated formation energy in kcal/mol of atoms: 2.507

abc: 5.721 5.721 7.951
angles: 90.00 90.00 90.00
Element x y z (fractional)
1 La 0.000 0.000 0.000
2 Tb 0.000 0.500 0.234
3 Tb 0.000 0.500 0.766
4 Tb 0.500 0.000 0.234
5 Tb 0.500 0.000 0.766
6 Nd 0.000 0.000 0.500
7 Nd 0.500 0.500 0.500
8 Mg 0.500 0.500 0.000

A relaxed structure of LaTb2Nd4Mg, computed with PBE.

Output
Raw total energy in Ha/atom: -0.157
Calculated formation energy in kcal/mol of atoms: 1.679

abc: 5.924 5.924 7.565
angles: 90.00 90.00 90.00
Element x y z (fractional)
1 La 0.000 0.000 0.000
2 Tb 0.000 0.000 0.500
3 Tb 0.500 0.500 0.500
4 Nd 0.000 0.500 0.244
5 Nd 0.000 0.500 0.756
6 Nd 0.500 0.000 0.244
7 Nd 0.500 0.000 0.756
8 Mg 0.500 0.500 0.000

A relaxed structure of LaTb6Nd2Mg, computed with PBE.

Output
Raw total energy in Ha/atom: -0.157
Calculated formation energy in kcal/mol of atoms: 2.442

abc: 11.036 11.036 6.723
angles: 94.30 94.30 125.84
Element x y z (fractional)
1 La 0.008 0.992 0.750
2 La 0.992 0.008 0.250
3 Tb 0.084 0.565 0.779
4 Tb 0.087 0.793 0.470
5 Tb 0.207 0.913 0.030
6 Tb 0.297 0.478 0.517
7 Tb 0.435 0.916 0.721
8 Tb 0.478 0.297 0.017
9 Tb 0.522 0.703 0.983
10 Tb 0.565 0.084 0.279
11 Tb 0.703 0.522 0.483
12 Tb 0.793 0.087 0.970
13 Tb 0.913 0.207 0.530
14 Tb 0.916 0.435 0.221
15 Nd 0.186 0.350 0.000
16 Nd 0.350 0.186 0.500
17 Nd 0.650 0.814 0.500
18 Nd 0.814 0.650 0.000
19 Mg 0.292 0.708 0.250
20 Mg 0.708 0.292 0.750

A relaxed structure of La2NdMgTe5, computed with PBE.

Output
Raw total energy in Ha/atom: -0.167
ΔE_f (raw) in kcal/mol of atoms: -22.790

abc: 8.633 8.633 25.356
angles: 90.00 90.00 149.65
Element x y z (fractional)
1 La 0.093 0.907 0.500
2 La 0.145 0.855 0.664
3 La 0.855 0.145 0.164
4 La 0.907 0.093 0.000
5 Nd 0.451 0.549 0.797
6 Nd 0.549 0.451 0.297
7 Mg 0.382 0.618 0.620
8 Mg 0.618 0.382 0.120
9 Te 0.253 0.747 0.555
10 Te 0.319 0.681 0.717
11 Te 0.385 0.615 0.249
12 Te 0.426 0.574 0.916
13 Te 0.459 0.541 0.089
14 Te 0.541 0.459 0.589
15 Te 0.574 0.426 0.416
16 Te 0.615 0.385 0.749
17 Te 0.681 0.319 0.217
18 Te 0.747 0.253 0.055

A relaxed structure of LaNdThMg, computed with PBE.

Output
Raw total energy in Ha/atom: -0.174
Calculated formation energy in kcal/mol of atoms: -1.200
Relative energy among the computed polymorphs in meV/atom: 0

abc: 3.660 3.660 9.542
angles: 90.00 90.00 90.00
Element x y z (fractional)
1 La 0.000 0.000 0.000
2 Nd 0.000 0.000 0.488
3 Th 0.500 0.500 0.743
4 Mg 0.500 0.500 0.250

A relaxed structure of LaNdThMg, computed with PBE.

Output
Raw total energy in Ha/atom: -0.167
Calculated formation energy in kcal/mol of atoms: 3.109
Relative energy among the computed polymorphs in meV/atom: 187

abc: 5.673 5.673 5.673
angles: 60.00 60.00 60.00
Element x y z (fractional)
1 La 0.000 0.000 0.000
2 Nd 0.500 0.500 0.500
3 Th 0.250 0.250 0.250
4 Mg 0.750 0.750 0.750